This record from the Alexandria database describes ZnCo2P after structural relaxation. The functional is PBE-GGA.

Cell lengths 6.332, 6.332, 5.154 Å; angles 52.10, 52.10, 90.00 degrees
Element x y z (fractional)
1 P 0.500 0.500 0.000
2 P 0.250 0.750 0.500
3 Co 0.566 0.125 0.250
4 Co 0.375 0.434 0.750
5 Co 0.184 0.625 0.250
6 Co 0.875 0.816 0.750
7 Zn 0.000 0.000 0.000
8 Zn 0.750 0.250 0.500

Calculated values
Distance to the lowest polymorph of the same formula: 263 meV/atom
Theoretical density: 6.95 Mg/m³
Crystal system: tetragonal
Energy relative to the elements: 0.010 eV/atom

This record from the Alexandria database describes Zn2Co2P after structural relaxation. The functional is PBE-GGA.

Cell lengths 5.651, 5.651, 3.998 Å; angles 90.00, 90.00, 90.00 degrees
Element x y z (fractional)
1 Zn 0.844 0.344 0.500
2 Zn 0.656 0.844 0.500
3 Zn 0.156 0.656 0.500
4 Zn 0.344 0.156 0.500
5 Co 0.844 0.656 0.000
6 Co 0.656 0.156 0.000
7 Co 0.156 0.344 0.000
8 Co 0.344 0.844 0.000
9 P 0.500 0.500 0.000
10 P 0.000 0.000 0.000

Calculated values
Theoretical density: 7.28 Mg/m³
Crystal system: tetragonal
Energy relative to the elements: -0.199 eV/atom

This record from the Alexandria database describes ZnCo2P after structural relaxation. The functional is PBE-GGA.

Cell lengths 2.670, 2.670, 7.262 Å; angles 90.00, 90.00, 90.00 degrees
Site moments in Bohr magnetons follow the coordinates.
Element x y z (fractional)
1 P 0.000 0.000 0.432  -0.02
2 Co 0.500 0.500 0.255  0.83
3 Co 0.000 0.000 0.023  1.39
4 Zn 0.500 0.500 0.791  -0.03

Calculated values
Distance to the lowest polymorph of the same formula: 266 meV/atom
Theoretical density: 6.87 Mg/m³
Crystal system: tetragonal
Energy relative to the elements: 0.013 eV/atom

This record from the Alexandria database describes ZnCoP after structural relaxation. The functional is PBE-GGA.

Cell lengths 4.884, 4.884, 4.884 Å; angles 144.96, 145.03, 50.35 degrees
Element x y z (fractional)
1 Co 0.971 0.971 0.000
2 P 0.365 0.365 0.000
3 Zn 0.664 0.664 0.000

Calculated values
Theoretical density: 6.76 Mg/m³
Crystal system: tetragonal
Energy relative to the elements: -0.108 eV/atom

This record from the Alexandria database describes Zn2CoP after structural relaxation. The functional is PBE-GGA.

Cell lengths 3.397, 3.585, 4.966 Å; angles 68.74, 90.00, 90.00 degrees
Element x y z (fractional)
1 Zn 0.000 0.969 0.938
2 Zn 0.500 0.284 0.307
3 Co 0.000 0.693 0.489
4 P 0.500 0.554 0.767

Calculated values
Theoretical density: 6.50 Mg/m³
Crystal system: monoclinic
Energy relative to the elements: -0.038 eV/atom

This record from the Alexandria database describes ZnCo2P after structural relaxation. The functional is PBE-GGA.

Cell lengths 3.955, 3.955, 2.868 Å; angles 90.00, 90.00, 90.00 degrees
Site moments in Bohr magnetons follow the coordinates.
Element x y z (fractional)
1 Co 0.500 0.500 0.000  0.59
2 Co 0.000 0.000 0.000  0.59
3 P 0.500 0.000 0.500  0.02
4 Zn 0.000 0.500 0.500  -0.03

Calculated values
Distance to the lowest polymorph of the same formula: 144 meV/atom
Theoretical density: 7.93 Mg/m³
Crystal system: tetragonal
Energy relative to the elements: -0.110 eV/atom

This record from the Alexandria database describes Zn2CoP after structural relaxation. The functional is PBE-GGA.

Cell lengths 7.724, 7.724, 5.876 Å; angles 48.90, 48.90, 90.00 degrees
Site moments in Bohr magnetons follow the coordinates.
Element x y z (fractional)
1 P 0.250 0.750 0.500  0.00
2 P 0.500 0.500 0.000  0.00
3 Zn 0.546 0.125 0.250  0.00
4 Zn 0.875 0.796 0.750  0.00
5 Zn 0.204 0.625 0.250  0.00
6 Zn 0.375 0.454 0.750  0.00
7 Co 0.750 0.250 0.500  1.06
8 Co 0.000 0.000 0.000  1.05

Calculated values
Theoretical density: 5.67 Mg/m³
Crystal system: tetragonal
Energy relative to the elements: 0.256 eV/atom

This record from the Alexandria database describes Zn2CoP after structural relaxation. The functional is PBE-GGA.

Cell lengths 2.640, 2.640, 7.995 Å; angles 90.00, 90.00, 90.00 degrees
Site moments in Bohr magnetons follow the coordinates.
Element x y z (fractional)
1 Co 0.500 0.500 0.250  0.78
2 Zn 0.000 0.000 0.463  -0.02
3 Zn 0.000 0.000 0.037  -0.02
4 P 0.500 0.500 0.750  -0.01

Calculated values
Theoretical density: 6.58 Mg/m³
Crystal system: tetragonal
Energy relative to the elements: 0.197 eV/atom

This record from the Alexandria database describes ZnCo2P after structural relaxation. The functional is PBE-GGA.

Cell lengths 4.245, 4.245, 4.245 Å; angles 132.47, 122.25, 77.95 degrees
Element x y z (fractional)
1 Co 0.957 0.957 0.000
2 Co 0.543 0.543 0.000
3 Zn 0.250 0.750 0.500
4 P 0.750 0.250 0.500

Calculated values
Distance to the lowest polymorph of the same formula: 90 meV/atom
Theoretical density: 7.69 Mg/m³
Crystal system: orthorhombic
Energy relative to the elements: -0.164 eV/atom

This record from the Alexandria database describes ZnCo2P after structural relaxation. The functional is PBE-GGA.

Cell lengths 2.727, 3.419, 5.112 Å; angles 90.00, 90.00, 90.00 degrees
Site moments in Bohr magnetons follow the coordinates.
Element x y z (fractional)
1 Co 0.000 0.000 0.004  0.93
2 Co 0.500 0.500 0.279  0.51
3 Zn 0.500 0.500 0.776  -0.03
4 P 0.000 0.000 0.441  -0.01

Calculated values
Distance to the lowest polymorph of the same formula: 208 meV/atom
Theoretical density: 7.46 Mg/m³
Crystal system: orthorhombic
Energy relative to the elements: -0.045 eV/atom

This record from the Alexandria database describes Zn2CoP after structural relaxation. The functional is PBE-GGA.

Cell lengths 3.340, 3.334, 4.737 Å; angles 90.00, 90.00, 90.00 degrees
Element x y z (fractional)
1 Co 0.500 0.500 0.250
2 P 0.500 0.500 0.750
3 Zn 0.000 0.000 0.495
4 Zn 0.000 0.000 0.005

Calculated values
Theoretical density: 6.95 Mg/m³
Crystal system: tetragonal
Energy relative to the elements: 0.059 eV/atom

This record from the Alexandria database describes ZnCoP after structural relaxation. The functional is PBE-GGA.

Cell lengths 3.854, 3.854, 3.854 Å; angles 60.00, 60.00, 60.00 degrees
Element x y z (fractional)
1 P 0.750 0.750 0.750
2 Co 0.500 0.500 0.500
3 Zn 0.000 0.000 0.000

Calculated values
Theoretical density: 6.37 Mg/m³
Crystal system: cubic
Energy relative to the elements: -0.058 eV/atom

This record from the Alexandria database describes Zn2CoP after structural relaxation. The functional is PBE-GGA.

Cell lengths 5.945, 5.945, 5.945 Å; angles 154.27, 139.90, 48.26 degrees
Element x y z (fractional)
1 Zn 0.686 0.186 0.500
2 Zn 0.013 0.013 0.000
3 Co 0.481 0.481 0.000
4 P 0.319 0.819 0.500

Calculated values
Theoretical density: 6.26 Mg/m³
Crystal system: orthorhombic
Energy relative to the elements: -0.056 eV/atom

This record from the Alexandria database describes Zn2CoP after structural relaxation. The functional is PBE-GGA.

Cell lengths 8.094, 8.094, 8.094 Å; angles 20.35, 20.35, 20.35 degrees
Element x y z (fractional)
1 P 0.765 0.765 0.765
2 Zn 0.003 0.003 0.003
3 Zn 0.241 0.241 0.241
4 Co 0.491 0.491 0.491

Calculated values
Theoretical density: 6.53 Mg/m³
Crystal system: trigonal
Energy relative to the elements: -0.059 eV/atom

This record from the Alexandria database describes ZnCoP after structural relaxation. The functional is PBE-GGA.

Cell lengths 2.865, 2.865, 5.667 Å; angles 90.00, 90.00, 120.00 degrees
Element x y z (fractional)
1 P 0.667 0.333 0.282
2 Zn 0.333 0.667 0.686
3 Co 0.000 0.000 0.032

Calculated values
Theoretical density: 6.40 Mg/m³
Crystal system: trigonal
Energy relative to the elements: -0.121 eV/atom

This record from the Alexandria database describes Zn2CoP after structural relaxation. The functional is PBE-GGA.

Cell lengths 4.749, 4.749, 4.749 Å; angles 135.87, 135.87, 64.18 degrees
Site moments in Bohr magnetons follow the coordinates.
Element x y z (fractional)
1 Zn 0.000 0.000 0.000  -0.01
2 Zn 0.500 0.500 0.000  -0.01
3 Co 0.250 0.750 0.500  0.61
4 P 0.750 0.250 0.500  0.04

Calculated values
Theoretical density: 7.16 Mg/m³
Crystal system: tetragonal
Energy relative to the elements: 0.064 eV/atom

This record from the Alexandria database describes ZnCo2P after structural relaxation. The functional is PBE-GGA.

Cell lengths 4.585, 4.585, 4.585 Å; angles 136.04, 136.04, 63.92 degrees
Site moments in Bohr magnetons follow the coordinates.
Element x y z (fractional)
1 P 0.500 0.500 0.000  -0.01
2 Co 0.000 0.000 0.000  0.63
3 Co 0.250 0.750 0.500  0.81
4 Zn 0.750 0.250 0.500  -0.02

Calculated values
Distance to the lowest polymorph of the same formula: 246 meV/atom
Theoretical density: 7.76 Mg/m³
Crystal system: tetragonal
Energy relative to the elements: -0.008 eV/atom

This record from the Alexandria database describes ZnCoP after structural relaxation. The functional is PBE-GGA.

Cell lengths 3.721, 3.721, 3.379 Å; angles 90.00, 90.00, 120.00 degrees
Site moments in Bohr magnetons follow the coordinates.
Element x y z (fractional)
1 Zn 0.333 0.667 0.667  0.00
2 P 0.667 0.333 0.167  0.02
3 Co 0.000 0.000 0.167  0.31

Calculated values
Theoretical density: 6.37 Mg/m³
Crystal system: hexagonal
Energy relative to the elements: -0.110 eV/atom

This record from the Alexandria database describes ZnCo2P after structural relaxation. The functional is PBE-GGA.

Cell lengths 2.682, 2.683, 6.857 Å; angles 67.02, 90.00, 90.00 degrees
Element x y z (fractional)
1 Zn 0.500 0.750 0.750
2 P 0.500 0.250 0.250
3 Co 0.000 0.954 0.047
4 Co 0.000 0.546 0.453

Calculated values
Distance to the lowest polymorph of the same formula: 0 meV/atom
Theoretical density: 7.83 Mg/m³
Crystal system: tetragonal
Energy relative to the elements: -0.253 eV/atom

This record from the Alexandria database describes Zn2CoP after structural relaxation. The functional is PBE-GGA.

Cell lengths 4.159, 5.308, 2.811 Å; angles 72.28, 95.80, 114.75 degrees
Site moments in Bohr magnetons follow the coordinates.
Element x y z (fractional)
1 Zn 0.000 0.000 0.000  0.00
2 Zn 0.500 0.000 0.500  0.00
3 Co 0.000 0.500 0.500  0.59
4 P 0.500 0.500 0.000  0.01

Calculated values
Theoretical density: 6.83 Mg/m³
Crystal system: monoclinic
Energy relative to the elements: 0.137 eV/atom